Below is a relaxed structure of Ce3DyZr2N6, with properties calculated at the PBE level.

## Properties
**E_form (uncorrected)**: -1.63 eV per atom

Geometry as POSCAR:
```
Ce3DyZr2N6
1.0
2.960 -5.126 0.000
2.960 5.126 0.000
-1.972 0.000 5.692
Ce Dy Zr N
3 1 2 6
Direct
0.000 0.000 0.000
0.334 0.666 0.000
0.666 0.334 0.000
0.500 0.500 0.500
0.167 0.833 0.500
0.833 0.167 0.500
0.079 0.423 0.269
0.231 0.231 0.728
0.423 0.079 0.269
0.577 0.921 0.731
0.769 0.769 0.272
0.921 0.577 0.731
```